# 1
# TbAl6Fe3 (PBE, optimized geometry)
# E   -5.492 eV/atom
# Calculated formation energy   -0.2450 eV per atom
data_TbAl6Fe3
_chemical_formula_sum 'Tb2 Al12 Fe6'
_symmetry_space_group_name_H-M 'C 1 m 1'
_symmetry_Int_Tables_number 8
_symmetry_space_group_name_Hall 'C -2y'
_cell_length_a 9.298
_cell_length_b 5.368
_cell_length_c 7.101
_cell_angle_alpha 90.00
_cell_angle_beta 115.81
_cell_angle_gamma 90.00
loop_
_atom_site_label
_atom_site_fract_x
_atom_site_fract_y
_atom_site_fract_z
_atom_site_occupancy
Tb1 0.000 0.000 0.000 1
Al1 0.097 0.500 0.290 1
Al2 0.147 0.251 0.692 1
Al3 0.347 0.250 0.290 1
Al4 0.399 0.000 0.692 1
Fe1 0.138 0.000 0.413 1
Fe2 0.160 0.500 0.979 1
Fe3 0.328 0.000 0.984 1

# 2
# TbAl3Fe2 (PBE, optimized geometry)
# E   -5.822 eV/atom
# Calculated formation energy   -0.3578 eV per atom
data_TbAl3Fe2
_chemical_formula_sum 'Tb4 Al12 Fe8'
_symmetry_space_group_name_H-M 'C m c m'
_symmetry_Int_Tables_number 63
_symmetry_space_group_name_Hall '-C 2c 2'
_cell_length_a 9.528
_cell_length_b 8.125
_cell_length_c 5.129
_cell_angle_alpha 90.00
_cell_angle_beta 90.00
_cell_angle_gamma 90.00
loop_
_atom_site_label
_atom_site_fract_x
_atom_site_fract_y
_atom_site_fract_z
_atom_site_occupancy
Tb1 0.000 0.150 0.250 1
Al1 0.000 0.466 0.750 1
Al2 0.191 0.231 0.750 1
Fe1 0.221 0.500 0.000 1

- Which value of E does entry 2 give?
  -5.822 eV/atom

- Which value of calculated formation energy does entry 1 give?
  -0.2450 eV per atom

- Which value of E does entry 1 give?
  -5.492 eV/atom